Computed, not measured: crystalline Ba2LiMgAu at its relaxed geometry at the PBE level of DFT.

Calculated values
calculated formation energy = -0.230 eV per atom
energy above the most stable polymorph in this dataset = 0.0000 eV per atom
calculated total energy = -11.78 eV/cell
space group = P4/mmm

Unit cell a=6.387 b=6.387 c=5.264 alpha=90.00 beta=90.00 gamma=90.00
Sites, in units of the cell vectors:
Mg 0.000 0.000 0.500
Au 0.000 0.000 0.000
Ba 0.000 0.500 0.000
Ba 0.500 0.000 0.000
Li 0.500 0.500 0.500

***

Computed, not measured: crystalline BaLiMgAu2 at its relaxed geometry at the PBE level of DFT.

Calculated values
calculated formation energy = -0.601 eV per atom
calculated total energy = -14.99 eV/cell
space group = I-4m2

Unit cell a=4.406 b=4.406 c=7.129 alpha=108.00 beta=108.00 gamma=90.00
Sites, in units of the cell vectors:
Ba 0.000 0.000 0.000
Li 0.250 0.750 0.500
Mg 0.750 0.250 0.500
Au 0.618 0.618 0.235
Au 0.382 0.382 0.765

***

Computed, not measured: crystalline BaLi2MgAu at its relaxed geometry at the PBE level of DFT.

Calculated values
calculated formation energy = -0.243 eV per atom
calculated total energy = -11.84 eV/cell
space group = P4/mmm

Unit cell a=5.224 b=5.224 c=5.193 alpha=90.00 beta=90.00 gamma=90.00
Sites, in units of the cell vectors:
Mg 0.000 0.000 0.500
Au 0.000 0.000 0.000
Ba 0.500 0.500 0.500
Li 0.000 0.500 0.000
Li 0.500 0.000 0.000

***

Computed, not measured: crystalline Ba2LiMgAu6 at its relaxed geometry at the PBE level of DFT.

Calculated values
calculated formation energy = -0.551 eV per atom
calculated total energy = -32.53 eV/cell
space group = C2/m

Unit cell a=6.542 b=8.312 c=7.006 alpha=56.10 beta=62.16 gamma=90.00
Sites, in units of the cell vectors:
Ba 0.240 0.789 0.521
Ba 0.760 0.211 0.479
Li 0.500 0.500 0.000
Mg 0.000 0.000 0.000
Au 0.254 0.739 0.047
Au 0.699 0.739 0.047
Au 0.249 0.379 0.502
Au 0.746 0.261 0.953
Au 0.301 0.261 0.953
Au 0.751 0.621 0.498

***

Computed, not measured: crystalline Ba2LiMgAu at its relaxed geometry at the PBE level of DFT.

Calculated values
calculated formation energy = -0.226 eV per atom
energy above the most stable polymorph in this dataset = 0.0043 eV per atom
calculated total energy = -11.76 eV/cell
space group = P4/mmm

Unit cell a=6.394 b=5.004 c=6.394 alpha=90.00 beta=90.00 gamma=90.00
Sites, in units of the cell vectors:
Mg 0.500 0.500 0.500
Au 0.000 0.000 0.000
Ba 0.000 0.000 0.500
Ba 0.500 0.000 0.000
Li 0.000 0.500 0.000

***

Computed, not measured: crystalline BaLiMg2Au2 at its relaxed geometry at the PBE level of DFT.

Calculated values
calculated formation energy = -0.551 eV per atom
calculated total energy = -16.89 eV/cell
space group = P-3m1

Unit cell a=4.762 b=4.762 c=7.610 alpha=90.00 beta=90.00 gamma=120.00
Sites, in units of the cell vectors:
Ba 0.000 0.000 0.000
Li 0.000 0.000 0.500
Mg 0.333 0.667 0.651
Mg 0.667 0.333 0.349
Au 0.333 0.667 0.294
Au 0.667 0.333 0.706

***

Computed, not measured: crystalline Ba2Li2MgAu at its relaxed geometry at the PBE level of DFT.

Calculated values
calculated formation energy = -0.219 eV per atom
calculated total energy = -27.72 eV/cell
space group = Ibam

Unit cell a=7.302 b=7.125 c=9.342 alpha=112.42 beta=113.01 gamma=90.00
Sites, in units of the cell vectors:
Ba 0.659 0.887 0.318
Ba 0.159 0.430 0.318
Ba 0.841 0.570 0.682
Ba 0.341 0.113 0.682
Li 0.425 0.649 0.851
Li 0.575 0.351 0.149
Li 0.075 0.798 0.149
Li 0.925 0.202 0.851
Mg 0.250 0.000 0.000
Mg 0.750 0.000 0.000
Au 0.750 0.500 0.000
Au 0.250 0.500 0.000

***

Computed, not measured: crystalline BaLiAuN2 at its relaxed geometry at the PBE level of DFT.

Calculated values
uncorrected formation energy = 0.8365 eV per atom
calculated total energy = -19.58 eV/cell
space group = P4/mmm

Unit cell a=4.513 b=4.737 c=4.513 alpha=90.00 beta=90.00 gamma=90.00
Sites, in units of the cell vectors:
Li 0.000 0.000 0.000
Au 0.000 0.500 0.000
Ba 0.500 0.500 0.500
N 0.000 0.000 0.500
N 0.500 0.000 0.000

***

Computed, not measured: crystalline Ba2LiAuN at its relaxed geometry at the PBE level of DFT.

Calculated values
energy above the most stable polymorph in this dataset = 0.0462 eV per atom
uncorrected formation energy = -0.4469 eV per atom
calculated total energy = -19.60 eV/cell
space group = P4/mmm

Unit cell a=5.678 b=5.678 c=4.110 alpha=90.00 beta=90.00 gamma=90.00
Sites, in units of the cell vectors:
Li 0.000 0.000 0.500
Au 0.500 0.500 0.500
Ba 0.000 0.500 0.000
Ba 0.500 0.000 0.000
N 0.000 0.000 0.000

***

Computed, not measured: crystalline Ba2LiAuN at its relaxed geometry at the PBE level of DFT.

Calculated values
energy above the most stable polymorph in this dataset = 0.0000 eV per atom
uncorrected formation energy = -0.4931 eV per atom
calculated total energy = -39.66 eV/cell
space group = P2_1/m

Unit cell a=4.113 b=7.511 c=9.358 alpha=110.52 beta=90.00 gamma=90.00
Sites, in units of the cell vectors:
Ba 0.750 0.848 0.634
Ba 0.750 0.787 0.017
Ba 0.250 0.152 0.366
Ba 0.250 0.213 0.983
Li 0.250 0.556 0.719
Li 0.750 0.444 0.281
Au 0.250 0.675 0.305
Au 0.750 0.325 0.695
N 0.250 0.835 0.827
N 0.750 0.165 0.173

***

Computed, not measured: crystalline BaNaLiAu at its relaxed geometry at the PBE level of DFT.

Calculated values
calculated formation energy = -0.343 eV per atom
energy above the most stable polymorph in this dataset = 0.0000 eV per atom
calculated total energy = -19.61 eV/cell
space group = P4/nmm

Unit cell a=4.468 b=4.468 c=13.010 alpha=90.00 beta=90.00 gamma=90.00
Sites, in units of the cell vectors:
Ba 0.750 0.750 0.225
Ba 0.250 0.250 0.775
Na 0.250 0.750 0.500
Na 0.750 0.250 0.500
Li 0.750 0.250 0.000
Li 0.250 0.750 0.000
Au 0.750 0.750 0.879
Au 0.250 0.250 0.121

***

Computed, not measured: crystalline BaNaLiAu2 at its relaxed geometry at the PBE level of DFT.

Calculated values
calculated formation energy = -0.350 eV per atom
energy above the most stable polymorph in this dataset = 0.1461 eV per atom
calculated total energy = -13.46 eV/cell
space group = P4/mmm

Unit cell a=5.183 b=5.183 c=4.822 alpha=90.00 beta=90.00 gamma=90.00
Sites, in units of the cell vectors:
Na 0.000 0.000 0.500
Au 0.000 0.500 0.000
Au 0.500 0.000 0.000
Ba 0.500 0.500 0.500
Li 0.000 0.000 0.000

***

Computed, not measured: crystalline BaNaLi2Au at its relaxed geometry at the PBE level of DFT.

Calculated values
calculated formation energy = -0.147 eV per atom
energy above the most stable polymorph in this dataset = 0.0000 eV per atom
calculated total energy = -11.08 eV/cell
space group = P4/mmm

Unit cell a=5.329 b=5.329 c=6.209 alpha=90.00 beta=90.00 gamma=90.00
Sites, in units of the cell vectors:
Na 0.500 0.500 0.500
Au 0.000 0.000 0.000
Ba 0.000 0.000 0.500
Li 0.000 0.500 0.000
Li 0.500 0.000 0.000

***

Computed, not measured: crystalline BaNaLiAu2 at its relaxed geometry at the PBE level of DFT.

Calculated values
calculated formation energy = -0.496 eV per atom
energy above the most stable polymorph in this dataset = 0.0000 eV per atom
calculated total energy = -14.19 eV/cell
space group = I-4m2

Unit cell a=4.479 b=4.479 c=7.398 alpha=107.62 beta=107.62 gamma=90.00
Sites, in units of the cell vectors:
Ba 0.000 0.000 0.000
Na 0.750 0.250 0.500
Li 0.250 0.750 0.500
Au 0.607 0.607 0.215
Au 0.393 0.393 0.785

***

Computed, not measured: crystalline BaNaLi2Au at its relaxed geometry at the PBE level of DFT.

Calculated values
calculated formation energy = -0.143 eV per atom
energy above the most stable polymorph in this dataset = 0.0040 eV per atom
calculated total energy = -11.06 eV/cell
space group = P4/mmm

Unit cell a=5.210 b=5.210 c=5.620 alpha=90.00 beta=90.00 gamma=90.00
Sites, in units of the cell vectors:
Na 0.000 0.000 0.500
Au 0.000 0.000 0.000
Ba 0.500 0.500 0.500
Li 0.000 0.500 0.000
Li 0.500 0.000 0.000

***

Computed, not measured: crystalline BaNaLiAu at its relaxed geometry at the PBE level of DFT.

Calculated values
calculated formation energy = -0.219 eV per atom
energy above the most stable polymorph in this dataset = 0.1245 eV per atom
calculated total energy = -9.31 eV/cell
space group = F-43m

Unit cell a=5.569 b=5.569 c=5.569 alpha=60.00 beta=60.00 gamma=60.00
Sites, in units of the cell vectors:
Na 0.500 0.500 0.500
Au 0.250 0.250 0.250
Ba 0.000 0.000 0.000
Li 0.750 0.750 0.750

***

Computed, not measured: crystalline BaNa2LiAu at its relaxed geometry at the PBE level of DFT.

Calculated values
calculated formation energy = -0.102 eV per atom
calculated total energy = -10.26 eV/cell
space group = P4/mmm

Unit cell a=5.723 b=5.723 c=5.210 alpha=90.00 beta=90.00 gamma=90.00
Sites, in units of the cell vectors:
Na 0.000 0.500 0.000
Na 0.500 0.000 0.000
Au 0.000 0.000 0.000
Ba 0.500 0.500 0.500
Li 0.000 0.000 0.500

***

Computed, not measured: crystalline BaNaLi2Au2 at its relaxed geometry at the PBE level of DFT.

Calculated values
calculated formation energy = -0.465 eV per atom
calculated total energy = -16.41 eV/cell
space group = P-3m1

Unit cell a=4.709 b=4.709 c=7.734 alpha=90.00 beta=90.00 gamma=120.00
Sites, in units of the cell vectors:
Ba 0.000 0.000 0.000
Na 0.000 0.000 0.500
Li 0.333 0.667 0.649
Li 0.667 0.333 0.351
Au 0.333 0.667 0.286
Au 0.667 0.333 0.714

***

Computed, not measured: crystalline BaLiNdAu at its relaxed geometry at the PBE level of DFT.

Calculated values
calculated formation energy = -0.210 eV per atom
calculated total energy = -12.72 eV/cell
space group = F-43m

Unit cell a=5.533 b=5.533 c=5.533 alpha=60.00 beta=60.00 gamma=60.00
Sites, in units of the cell vectors:
Nd 0.750 0.750 0.750
Au 0.000 0.000 0.000
Ba 0.250 0.250 0.250
Li 0.500 0.500 0.500

***

Computed, not measured: crystalline BaLi2NiAu at its relaxed geometry at the PBE level of DFT.

Calculated values
calculated formation energy = -0.116 eV per atom
calculated total energy = -15.39 eV/cell
space group = P4/mmm

Unit cell a=4.747 b=4.747 c=5.129 alpha=90.00 beta=90.00 gamma=90.00
Sites, in units of the cell vectors:
Ni 0.000 0.000 0.000
Au 0.000 0.000 0.500
Ba 0.500 0.500 0.500
Li 0.000 0.500 0.000
Li 0.500 0.000 0.000

***

Computed, not measured: crystalline Ba2LiAuO at its relaxed geometry at the PBE level of DFT.

Calculated values
uncorrected formation energy = -1.2333 eV per atom
calculated total energy = -20.16 eV/cell
space group = P4/mmm

Unit cell a=5.585 b=5.585 c=4.082 alpha=90.00 beta=90.00 gamma=90.00
Sites, in units of the cell vectors:
Au 0.500 0.500 0.500
Ba 0.000 0.500 0.000
Ba 0.500 0.000 0.000
O 0.000 0.000 0.000
Li 0.000 0.000 0.500

***

Computed, not measured: crystalline Ba3LiAu2O6 at its relaxed geometry at the PBE level of DFT.

Calculated values
uncorrected formation energy = -1.2394 eV per atom
calculated total energy = -58.86 eV/cell
space group = P-3m1

Unit cell a=6.023 b=6.023 c=6.886 alpha=90.00 beta=90.00 gamma=120.00
Sites, in units of the cell vectors:
Ba 0.333 0.667 0.633
Ba 0.667 0.333 0.367
Ba 0.000 0.000 0.000
Li 0.000 0.000 0.500
Au 0.667 0.333 0.849
Au 0.333 0.667 0.151
O 0.677 0.839 0.307
O 0.161 0.323 0.307
O 0.161 0.839 0.307
O 0.839 0.677 0.693
O 0.323 0.161 0.693
O 0.839 0.161 0.693

***

Computed, not measured: crystalline BaLiAuO2 at its relaxed geometry at the PBE level of DFT.

Calculated values
uncorrected formation energy = -1.5033 eV per atom
calculated total energy = -49.09 eV/cell
space group = Cmme

Unit cell a=4.918 b=5.657 c=6.539 alpha=115.63 beta=90.00 gamma=90.00
Sites, in units of the cell vectors:
Ba 0.271 0.750 0.500
Ba 0.729 0.250 0.500
Li 0.500 0.750 0.000
Li 0.500 0.250 0.000
Au 0.000 0.000 0.000
Au 0.000 0.500 0.000
O 0.680 0.885 0.770
O 0.680 0.615 0.230
O 0.320 0.385 0.770
O 0.320 0.115 0.230

***

Computed, not measured: crystalline BaLi2AuO at its relaxed geometry at the PBE level of DFT.

Calculated values
uncorrected formation energy = -1.0631 eV per atom
calculated total energy = -19.30 eV/cell
space group = P4/mmm

Unit cell a=4.468 b=4.468 c=5.315 alpha=90.00 beta=90.00 gamma=90.00
Sites, in units of the cell vectors:
Au 0.500 0.500 0.500
Ba 0.000 0.000 0.500
O 0.000 0.000 0.000
Li 0.000 0.500 0.000
Li 0.500 0.000 0.000

***

Computed, not measured: crystalline Ba2LiAu2O6 at its relaxed geometry at the PBE level of DFT.

Calculated values
uncorrected formation energy = -1.0116 eV per atom
calculated total energy = -53.19 eV/cell
space group = R-3m

Unit cell a=6.020 b=6.020 c=6.864 alpha=63.99 beta=63.99 gamma=60.00
Sites, in units of the cell vectors:
Ba 0.783 0.783 0.651
Ba 0.217 0.217 0.349
Li 0.000 0.000 0.000
Au 0.415 0.415 0.756
Au 0.585 0.585 0.244
O 0.770 0.770 0.261
O 0.200 0.770 0.261
O 0.770 0.200 0.261
O 0.230 0.800 0.739
O 0.800 0.230 0.739
O 0.230 0.230 0.739

***

Computed, not measured: crystalline Ba3Li2AuO6 at its relaxed geometry at the PBE level of DFT.

Calculated values
uncorrected formation energy = -1.6435 eV per atom
calculated total energy = -62.34 eV/cell
space group = P-3m1

Unit cell a=6.003 b=6.003 c=6.766 alpha=90.00 beta=90.00 gamma=120.00
Sites, in units of the cell vectors:
Ba 0.333 0.667 0.634
Ba 0.667 0.333 0.366
Ba 0.000 0.000 0.000
Li 0.667 0.333 0.776
Li 0.333 0.667 0.224
Au 0.000 0.000 0.500
O 0.668 0.834 0.309
O 0.166 0.332 0.309
O 0.166 0.834 0.309
O 0.834 0.668 0.691
O 0.332 0.166 0.691
O 0.834 0.166 0.691